First-principles (PBE) data for crystalline MgTaFeB at its relaxed geometry, as listed in OQMD.

```
MgTaFeB
1.0
-0.130 1.514 3.841
-3.284 2.168 1.255
-2.604 -1.615 2.769
Ta B Fe Mg
1 1 1 1
Direct
0.500 0.500 0.500 Ta
0.250 0.250 0.250 B
0.000 0.000 0.000 Fe
0.750 0.750 0.750 Mg
```

Summary:
Symmetry   F-43m, No. 216
Total energy   -25.5 eV/cell